## HfMnCu2 (PBE-GGA)

Data for crystalline HfMnCu2 at its relaxed geometry.

The structure in POSCAR format:
```
HfMnCu2
1.0
3.631 0.000 0.000
0.000 3.631 0.000
0.000 0.000 18.775
Hf Mn Cu
4 4 8
direct
0.000 0.000 0.000
0.000 0.500 0.250
0.500 0.000 0.750
0.500 0.500 0.500
0.000 0.000 0.500
0.000 0.500 0.750
0.500 0.000 0.250
0.500 0.500 0.000
0.226 0.250 0.625
0.250 0.726 0.875
0.250 0.774 0.375
0.274 0.250 0.125
0.726 0.750 0.125
0.750 0.226 0.375
0.750 0.274 0.875
0.774 0.750 0.625
```

Output
The symmetry is No. 122. The total moment comes out at 0.500 μB per atom. The value obtained for the formation energy is 0.39 eV per atom.